# 1
! SiAs2Ru | Alexandria via LeMat-Bulk | PBE | relaxed; values from VASP
&SYSTEM
  ibrav = 0, nat = 4, ntyp = 3
/
ATOMIC_SPECIES
Si 28.09 Si.upf
As 74.92 As.upf
Ru 101.07 Ru.upf
ATOMIC_POSITIONS crystal
Si 0.000 0.000 0.000
As 0.000 0.500 0.500
As 0.500 0.000 0.500
Ru 0.500 0.500 0.000
CELL_PARAMETERS angstrom
3.177 0.000 0.000
0.000 4.271 0.000
0.000 0.000 4.736
! space group: Pmmm
! DOS at the Fermi energy: 2.213 states/eV/f.u.

# 2
! MnMo3Se | Alexandria via LeMat-Bulk | PBE | relaxed; values from VASP
&SYSTEM
  ibrav = 0, nat = 5, ntyp = 3
/
ATOMIC_SPECIES
Mn 54.94 Mn.upf
Mo 95.94 Mo.upf
Se 78.96 Se.upf
ATOMIC_POSITIONS crystal
Mn 0.000 0.000 0.000
Mo 0.000 0.000 0.500
Mo 0.000 0.500 0.000
Mo 0.500 0.000 0.000
Se 0.500 0.500 0.500
CELL_PARAMETERS angstrom
4.503 0.000 0.000
0.000 4.503 0.000
0.000 0.000 4.503
! energy above the most stable polymorph in this dataset: 0 meV per atom
! space group: Pm-3m
! DOS at the Fermi energy: 6.885 states/eV/f.u.

# 3
! YSbRu | Alexandria via LeMat-Bulk | PBE | relaxed; values from VASP
&SYSTEM
  ibrav = 0, nat = 3, ntyp = 3
/
ATOMIC_SPECIES
Y 88.91 Y.upf
Sb 121.76 Sb.upf
Ru 101.07 Ru.upf
ATOMIC_POSITIONS crystal
Y 0.000 0.000 0.000
Sb 0.710 0.710 0.000
Ru 0.333 0.333 0.000
CELL_PARAMETERS angstrom
-1.667 1.667 5.729
1.667 -1.667 5.729
1.667 1.667 -5.729
! space group: I4mm
! DOS at the Fermi energy: 2.362 states/eV/f.u.

# 4
! ZrS2 | Alexandria via LeMat-Bulk | PBE | relaxed; values from VASP
&SYSTEM
  ibrav = 0, nat = 3, ntyp = 2
/
ATOMIC_SPECIES
Zr 91.22 Zr.upf
S 32.06 S.upf
ATOMIC_POSITIONS crystal
Zr 0.000 0.000 0.000
S 0.333 0.667 0.220
S 0.667 0.333 0.780
CELL_PARAMETERS angstrom
3.691 0.000 0.000
-1.845 3.196 0.000
0.000 0.000 6.613
! space group: P-3m1

# 5
! ZrNiI2 | Alexandria via LeMat-Bulk | PBE | relaxed; values from VASP
&SYSTEM
  ibrav = 0, nat = 4, ntyp = 3
/
ATOMIC_SPECIES
Zr 91.22 Zr.upf
Ni 58.69 Ni.upf
I 126.90 I.upf
ATOMIC_POSITIONS crystal
Zr 0.000 0.000 0.000
Ni 0.500 0.500 0.500
I 0.250 0.250 0.250
I 0.750 0.750 0.750
CELL_PARAMETERS angstrom
0.000 3.546 3.546
3.546 0.000 3.546
3.546 3.546 0.000
! energy above the most stable polymorph in this dataset: 40 meV per atom
! space group: Fm-3m
! DOS at the Fermi energy: 3.678 states/eV/f.u.

# 6
! MgSb2Ru | Alexandria via LeMat-Bulk | PBE | relaxed; values from VASP
&SYSTEM
  ibrav = 0, nat = 4, ntyp = 3
/
ATOMIC_SPECIES
Mg 24.30 Mg.upf
Sb 121.76 Sb.upf
Ru 101.07 Ru.upf
ATOMIC_POSITIONS crystal
Mg 0.000 0.000 0.000
Sb 0.147 0.147 0.619
Sb 0.336 0.336 0.320
Ru 0.721 0.721 0.972
CELL_PARAMETERS angstrom
4.873 -1.606 0.000
4.873 1.606 0.000
-2.169 0.000 6.003
! space group: Cm
! DOS at the Fermi energy: 1.488 states/eV/f.u.

In order of appearance, raw formation energy = 0.40, 1.21, -0.40, -1.52, 0.26, -0.07 eV per atom.